(1)
Material: GaSbRh4
Method: DFT, PBE
State: relaxed

Energy relative to the elements, uncorrected = -0.385 eV/atom
Space-group type = Cmcm (63)

abc: 4.0287 7.2597 12.5202
angles: 90.00 90.00 90.00
Last column: nearest neighbours and their distance in Å.
Sites, in units of the cell vectors:
Sb  0.2500  0.7500  0.5631  8 Rh 2.64-2.80
Sb  0.2500  0.2500  0.9369  8 Rh 2.64-2.80
Sb  0.7500  0.2500  0.4369  8 Rh 2.64-2.80
Sb  0.7500  0.7500  0.0631  8 Rh 2.64-2.80
Rh  0.7500  0.2500  0.0926  2 Ga 2.67, 8 Rh 2.68-2.84, 2 Sb 2.80
Rh  0.7500  0.9788  0.5917  3 Sb 2.64-2.76, 2 Ga 2.64-2.76, 5 Rh 2.82-2.84
Rh  0.2500  0.4788  0.4083  3 Sb 2.64-2.76, 2 Ga 2.64-2.76, 5 Rh 2.82-2.84
Rh  0.7500  0.0212  0.9083  3 Sb 2.64-2.76, 2 Ga 2.64-2.76, 5 Rh 2.82-2.84
Rh  0.7500  0.4788  0.9083  3 Sb 2.64-2.76, 2 Ga 2.64-2.76, 5 Rh 2.82-2.84
Rh  0.2500  0.2500  0.5926  2 Ga 2.67, 8 Rh 2.68-2.84, 2 Sb 2.80
Rh  0.2500  0.5212  0.0917  3 Sb 2.64-2.76, 2 Ga 2.64-2.76, 5 Rh 2.82-2.84
Rh  0.7500  0.5212  0.5917  3 Sb 2.64-2.76, 2 Ga 2.64-2.76, 5 Rh 2.82-2.84
Rh  0.7500  0.9999  0.2500  6 Rh 2.68-2.83, 4 Ga 2.72, 2 Sb 2.96
Rh  0.7500  0.7500  0.4074  2 Ga 2.67, 8 Rh 2.68-2.84, 2 Sb 2.80
Rh  0.2500  0.0212  0.4083  3 Sb 2.64-2.76, 2 Ga 2.64-2.76, 5 Rh 2.82-2.84
Rh  0.2500  0.9788  0.0917  3 Sb 2.64-2.76, 2 Ga 2.64-2.76, 5 Rh 2.82-2.84
Rh  0.2500  0.5001  0.7500  6 Rh 2.68-2.83, 4 Ga 2.72, 2 Sb 2.96
Rh  0.2500  0.7500  0.9074  2 Ga 2.67, 8 Rh 2.68-2.84, 2 Sb 2.80
Rh  0.2500  0.0001  0.7500  6 Rh 2.68-2.83, 4 Ga 2.72, 2 Sb 2.96
Rh  0.7500  0.4999  0.2500  6 Rh 2.68-2.83, 4 Ga 2.72, 2 Sb 2.96
Ga  0.7500  0.2500  0.7321  10 Rh 2.64-2.76
Ga  0.2500  0.7500  0.2679  10 Rh 2.64-2.76
Ga  0.7500  0.7500  0.7679  10 Rh 2.64-2.76
Ga  0.2500  0.2500  0.2321  10 Rh 2.64-2.76


(2)
Material: Cd2CoP
Method: DFT, PBE
State: relaxed

Calculated formation energy = 0.43 eV per atom
Space-group type = P4/mmm (123)

abc: 2.8883 2.8883 8.3773
angles: 90.00 90.00 90.00
Last column: nearest neighbours and their distance in Å.
Sites, in units of the cell vectors:
P  0.5000  0.5000  0.7500  4 P 2.89, 8 Cd 3.09
Cd  0.0000  0.0000  0.4734  4 Co 2.77, 4 Cd 2.89, 4 P 3.09
Cd  0.0000  0.0000  0.0266  4 Co 2.77, 4 Cd 2.89, 4 P 3.09
Co  0.5000  0.5000  0.2500  8 Cd 2.77, 4 Co 2.89


(3)
Material: K2HoCuCl6
Method: DFT, PBE
State: relaxed

Energy relative to the elements, uncorrected = -1.783 eV/atom
Space-group type = P2_1/c (14)

abc: 7.6304 8.2698 9.2252
angles: 90.00 90.13 90.00
Last column: nearest neighbours and their distance in Å.
Sites, in units of the cell vectors:
Cl  0.7119  0.3394  0.5479  1 Ho 2.61
Cl  0.2881  0.6606  0.4521  1 Ho 2.61
Cl  0.1615  0.2264  0.4510  1 Ho 2.62
Cl  0.9041  0.5313  0.2192  1 Cu 2.17
Cl  0.3385  0.7264  0.0490  1 Ho 2.62
Cl  0.8385  0.7736  0.5490  1 Ho 2.62
Cl  0.6615  0.2736  0.9510  1 Ho 2.62
Cl  0.2119  0.1606  0.0479  1 Ho 2.61
Cl  0.4041  0.9687  0.7192  1 Cu 2.17
Cl  0.5959  0.0313  0.2808  1 Cu 2.17
Cl  0.0959  0.4687  0.7808  1 Cu 2.17
Cl  0.7881  0.8394  0.9521  1 Ho 2.61
K  0.4808  0.4168  0.2471  8 Cl 3.13-3.47
K  0.9808  0.0832  0.7471  8 Cl 3.13-3.47
K  0.5192  0.5832  0.7529  8 Cl 3.13-3.47
K  0.0192  0.9168  0.2529  8 Cl 3.13-3.47
Ho  0.5000  0.0000  0.0000  6 Cl 2.61-2.70
Ho  0.0000  0.5000  0.5000  6 Cl 2.61-2.70
Cu  0.0000  0.5000  0.0000  2 Cl 2.17
Cu  0.5000  0.0000  0.5000  2 Cl 2.17


(4)
Material: Ho8Te4P3Pd
Method: DFT, PBE
State: relaxed

Energy relative to the elements, uncorrected = -1.385 eV/atom
Space-group type = R-3m (166)

abc: 8.2730 8.4526 8.2731
angles: 119.30 120.00 90.00
Last column: nearest neighbours and their distance in Å.
Sites, in units of the cell vectors:
Te  0.5000  0.0000  0.5000  6 Ho 3.13-3.14
Te  0.0000  0.0000  0.5000  6 Ho 3.13-3.14
Te  0.0000  0.0000  0.0000  6 Ho 3.13-3.14
Te  0.5000  0.0000  0.0000  6 Ho 3.09
P  0.0000  0.5000  0.5000  6 Ho 2.80
P  0.5000  0.5000  0.0000  6 Ho 2.80
P  0.5000  0.5000  0.5000  6 Ho 2.80
Ho  0.2666  0.2867  0.0266  2 P 2.80, 1 Pd 2.84, 3 Te 3.09-3.13
Ho  0.2638  0.2913  0.5275  3 P 2.80
Ho  0.2400  0.7133  0.9734  2 P 2.80, 1 Pd 2.84, 3 Te 3.09-3.13
Ho  0.7362  0.7087  0.4725  3 P 2.80
Ho  0.7334  0.7133  0.9734  2 P 2.80, 1 Pd 2.84, 3 Te 3.09-3.13
Ho  0.7601  0.2867  0.5201  2 P 2.80, 1 Pd 2.84, 3 Te 3.09-3.13
Ho  0.2399  0.7133  0.4799  2 P 2.80, 1 Pd 2.84, 3 Te 3.09-3.13
Ho  0.7600  0.2867  0.0266  2 P 2.80, 1 Pd 2.84, 3 Te 3.09-3.13
Pd  0.0000  0.5000  0.0000  6 Ho 2.84


(5)
Material: Li6Hg2BrN
Method: DFT, PBE
State: relaxed

Energy relative to the elements, uncorrected = -0.467 eV/atom
Space-group type = Fm-3m (225)

abc: 6.4048 6.4048 6.4048
angles: 60.00 60.00 60.00
Last column: nearest neighbours and their distance in Å.
Sites, in units of the cell vectors:
Li  0.2147  0.7853  0.7853  1 N 1.95
Li  0.2147  0.7853  0.2147  1 N 1.95
Li  0.7853  0.7853  0.2147  1 N 1.95
Li  0.7853  0.2147  0.2147  1 N 1.95
Li  0.2147  0.2147  0.7853  1 N 1.95
Li  0.7853  0.2147  0.7853  1 N 1.95
N  0.0000  0.0000  0.0000  6 Li 1.95
Br  0.5000  0.5000  0.5000  6 Li 2.58
Hg  0.2500  0.2500  0.2500  12 Li 3.22
Hg  0.7500  0.7500  0.7500  12 Li 3.22


(6)
Material: RbYAgP2
Method: DFT, PBE
State: relaxed

Calculated formation energy = 1.70 eV per atom
Space-group type = P4/mmm (123)

abc: 5.4017 5.3892 5.4017
angles: 90.00 90.00 90.00
Last column: nearest neighbours and their distance in Å.
Sites, in units of the cell vectors:
P  0.5000  0.0000  0.0000  2 Rb 2.70
P  0.0000  0.0000  0.5000  2 Rb 2.70
Y  0.0000  0.5000  0.0000  2 Rb 2.69
Rb  0.0000  0.0000  0.0000  2 Y 2.69, 4 P 2.70
Ag  0.5000  0.5000  0.5000  8 P 3.82, 4 Y 3.82


(7)
Material: Cd2Ga5Ag4
Method: DFT, PBE
State: relaxed

Calculated formation energy = 0.01 eV per atom
Space-group type = C2/m (12)

abc: 2.9775 8.6693 12.3392
angles: 138.65 96.93 90.00
Last column: nearest neighbours and their distance in Å.
Sites, in units of the cell vectors:
Ag  0.6872  0.4706  0.3744  6 Ga 2.77-3.06, 6 Ag 2.98-3.09
Ag  0.9486  0.6346  0.8973  4 Ga 2.79-3.01, 2 Cd 2.97, 4 Ag 2.98-3.09
Ag  0.3128  0.5294  0.6256  6 Ga 2.77-3.06, 6 Ag 2.98-3.09
Ag  0.0514  0.3654  0.1027  4 Ga 2.79-3.01, 2 Cd 2.97, 4 Ag 2.98-3.09
Cd  0.5895  0.7347  0.1790  5 Ga 2.91-3.24, 3 Cd 2.97-2.98, 4 Ag 2.97-3.22
Cd  0.4105  0.2653  0.8210  5 Ga 2.91-3.24, 3 Cd 2.97-2.98, 4 Ag 2.97-3.22
Ga  0.5000  0.0000  0.0000  6 Ag 2.79-3.06, 6 Ga 2.98-3.02
Ga  0.2277  0.8178  0.4554  3 Ag 2.78-2.90, 4 Ga 2.86-2.98, 1 Cd 2.97
Ga  0.7723  0.1822  0.5446  3 Ag 2.78-2.90, 4 Ga 2.86-2.98, 1 Cd 2.97
Ga  0.8680  0.8970  0.7360  4 Ag 2.77-3.01, 2 Cd 2.91, 4 Ga 2.98-3.02
Ga  0.1320  0.1030  0.2640  4 Ag 2.77-3.01, 2 Cd 2.91, 4 Ga 2.98-3.02


(8)
Material: Hf2Ta2Os
Method: DFT, PBE
State: relaxed

Calculated formation energy = -0.24 eV per atom
Space-group type = I4/mmm (139)

abc: 3.3107 3.3107 8.7532
angles: 100.90 100.90 90.00
Last column: nearest neighbours and their distance in Å.
Sites, in units of the cell vectors:
Ta  0.7948  0.7948  0.5896  4 Ta 2.79, 4 Hf 2.99
Ta  0.2052  0.2052  0.4104  4 Ta 2.79, 4 Hf 2.99
Os  0.0000  0.0000  0.0000  8 Hf 2.84
Hf  0.5950  0.5950  0.1900  4 Os 2.84, 4 Ta 2.99
Hf  0.4050  0.4050  0.8100  4 Os 2.84, 4 Ta 2.99


(9)
Material: Mg2Ag
Method: DFT, PBE
State: relaxed

Calculated formation energy = -0.17 eV per atom
Space-group type = P-62m (189)

abc: 7.9262 7.9262 3.3322
angles: 90.00 90.00 120.00
Last column: nearest neighbours and their distance in Å.
Sites, in units of the cell vectors:
Ag  0.0000  0.0000  0.5000  9 Mg 2.78-3.03
Ag  0.6667  0.3333  0.0000  9 Mg 2.87-2.98
Ag  0.3333  0.6667  0.0000  9 Mg 2.87-2.98
Mg  0.6182  0.0000  0.5000  5 Ag 2.98-3.03, 8 Mg 3.15-3.33
Mg  0.0000  0.2815  0.0000  4 Ag 2.78-2.87
Mg  0.2815  0.0000  0.0000  4 Ag 2.78-2.87
Mg  0.0000  0.6182  0.5000  5 Ag 2.98-3.03, 8 Mg 3.15-3.33
Mg  0.3818  0.3818  0.5000  5 Ag 2.98-3.03, 8 Mg 3.15-3.33
Mg  0.7185  0.7185  0.0000  4 Ag 2.78-2.87


(10)
Material: TlTeAs2
Method: DFT, PBE
State: relaxed

Energy relative to the elements, uncorrected = 0.014 eV/atom
Space-group type = C2/m (12)

abc: 6.7079 6.7079 5.7918
angles: 112.64 112.64 31.69
Last column: nearest neighbours and their distance in Å.
Sites, in units of the cell vectors:
Te  0.2500  0.2500  0.2500  2 As 2.89
Tl  0.7500  0.7500  0.7500  2 As 3.15, 4 Te 3.43
As  0.4916  0.4916  0.3861  2 As 2.48
As  0.0084  0.0084  0.1139  2 As 2.48


(11)
Material: DyY2Er2Tm4
Method: DFT, PBE
State: relaxed

Calculated formation energy = 0.10 eV per atom
Space-group type = P-1 (2)

abc: 6.6448 9.6706 6.6267
angles: 120.85 126.32 59.07
Last column: nearest neighbours and their distance in Å.
Sites, in units of the cell vectors:
Er  0.8179  0.4456  0.0408  5 Tm 3.41-3.59, 4 Y 3.44-3.54, 2 Er 3.46-3.54, 1 Dy 3.73
Er  0.1821  0.5544  0.9592  5 Tm 3.41-3.59, 4 Y 3.44-3.54, 2 Er 3.46-3.54, 1 Dy 3.73
Tm  0.2698  0.1211  0.8167  3 Tm 3.23-3.39, 1 Y 3.35, 2 Er 3.45-3.59, 1 Dy 3.50
Tm  0.7302  0.8789  0.1833  3 Tm 3.23-3.39, 1 Y 3.35, 2 Er 3.45-3.59, 1 Dy 3.50
Tm  0.6126  0.7670  0.5038  1 Dy 3.29, 2 Tm 3.39, 3 Y 3.39-3.63, 3 Er 3.41-3.53
Tm  0.3874  0.2330  0.4962  1 Dy 3.29, 2 Tm 3.39, 3 Y 3.39-3.63, 3 Er 3.41-3.53
Y  0.7351  0.3397  0.4045  5 Tm 3.35-3.63, 1 Y 3.42, 1 Dy 3.42, 4 Er 3.44-3.54
Y  0.2649  0.6603  0.5955  5 Tm 3.35-3.63, 1 Y 3.42, 1 Dy 3.42, 4 Er 3.44-3.54
Dy  0.0000  0.0000  0.0000  4 Tm 3.29-3.50, 2 Y 3.42


(12)
Material: Pa2ZnFe
Method: DFT, PBE
State: relaxed

Calculated formation energy = 0.38 eV per atom
Space-group type = R-3m (166)

abc: 3.4770 3.4770 9.7079
angles: 79.68 79.68 60.00
Last column: nearest neighbours and their distance in Å.
Sites, in units of the cell vectors:
Pa  0.8897  0.8897  0.3308  3 Fe 2.57
Pa  0.1103  0.1103  0.6692  3 Fe 2.57
Fe  0.5000  0.5000  0.5000  6 Pa 2.57
Zn  0.0000  0.0000  0.0000  2 Pa 3.14, 6 Zn 3.48


(13)
Material: Ti3SnGe
Method: DFT, PBE
State: relaxed

Calculated formation energy = -0.18 eV per atom
Space-group type = C2/m (12)

abc: 4.9849 5.5160 7.8808
angles: 107.41 90.00 116.86
Last column: nearest neighbours and their distance in Å.
Sites, in units of the cell vectors:
Sn  0.5661  0.1322  0.3543  10 Ti 2.90-3.23, 1 Sn 3.00
Sn  0.4339  0.8678  0.6457  10 Ti 2.90-3.23, 1 Sn 3.00
Ti  0.3511  0.7021  0.9975  3 Ge 2.48-2.59
Ti  0.1271  0.2542  0.6306  1 Ge 2.48, 1 Ti 2.65
Ti  0.1977  0.3955  0.2906  2 Ge 2.73, 3 Sn 2.93-2.98, 3 Ti 2.98-2.99
Ti  0.8023  0.6045  0.7094  2 Ge 2.73, 3 Sn 2.93-2.98, 3 Ti 2.98-2.99
Ti  0.8729  0.7458  0.3694  1 Ge 2.48, 1 Ti 2.65
Ti  0.6489  0.2979  0.0025  3 Ge 2.48-2.59
Ge  0.9145  0.8289  0.0760  1 Ge 2.37, 4 Ti 2.48-2.59
Ge  0.0855  0.1711  0.9240  1 Ge 2.37, 4 Ti 2.48-2.59


(14)
Material: LiIn6Rh5
Method: DFT, PBE
State: relaxed

Calculated formation energy = -0.40 eV per atom
Space-group type = P2/m (10)

abc: 4.6301 6.3450 7.2946
angles: 90.00 107.05 90.00
Last column: nearest neighbours and their distance in Å.
Sites, in units of the cell vectors:
Li  0.0000  0.0000  0.0000  8 In 2.81-2.84
Rh  0.6681  0.5000  0.3302  8 In 2.79-2.81
Rh  0.0000  0.5000  0.0000  8 In 2.80-2.84
Rh  0.3319  0.5000  0.6698  8 In 2.79-2.81
Rh  0.6676  0.0000  0.3251  8 In 2.77-2.84
Rh  0.3324  0.0000  0.6749  8 In 2.77-2.84
In  0.8286  0.7499  0.6630  7 Rh 2.80-2.84, 1 Li 2.84
In  0.5000  0.7485  0.0000  6 Rh 2.77-2.80, 2 Li 2.81
In  0.8286  0.2501  0.6630  7 Rh 2.80-2.84, 1 Li 2.84
In  0.5000  0.2515  0.0000  6 Rh 2.77-2.80, 2 Li 2.81
In  0.1714  0.7499  0.3370  7 Rh 2.80-2.84, 1 Li 2.84
In  0.1714  0.2501  0.3370  7 Rh 2.80-2.84, 1 Li 2.84


(15)
Material: CrIr2Au
Method: DFT, PBE
State: relaxed

Calculated formation energy = 0.33 eV per atom
Space-group type = Pmmm (47)

abc: 2.8443 4.7021 4.6399
angles: 90.00 90.00 90.00
Last column: nearest neighbours and their distance in Å.
Sites, in units of the cell vectors:
Ir  0.5000  0.5000  0.0000  4 Cr 2.72, 6 Ir 2.75-2.84
Ir  0.0000  0.0000  0.0000  4 Au 2.72, 6 Ir 2.75-2.84
Au  0.5000  0.0000  0.5000  4 Ir 2.72, 4 Cr 2.75, 2 Au 2.84
Cr  0.0000  0.5000  0.5000  4 Ir 2.72, 4 Au 2.75, 2 Cr 2.84


(16)
Material: La2YAg
Method: DFT, PBE
State: relaxed

Calculated formation energy = 0.03 eV per atom
Space-group type = I-4m2 (119)

abc: 6.2290 6.2290 6.2290
angles: 134.63 134.63 66.10
Last column: nearest neighbours and their distance in Å.
Sites, in units of the cell vectors:
La  0.2500  0.7500  0.5000  4 Ag 3.40, 4 La 3.55, 4 Y 3.55
La  0.0000  0.0000  0.0000  4 Y 3.40, 4 La 3.55, 4 Ag 3.55
Y  0.5000  0.5000  0.0000  8 La 3.40-3.55, 4 Ag 3.55
Ag  0.7500  0.2500  0.5000  8 La 3.40-3.55, 4 Y 3.55


(17)
Material: BaTa2Mn
Method: DFT, PBE
State: relaxed

Calculated formation energy = 0.74 eV per atom
Space-group type = Imm2 (44)

abc: 8.2411 8.2411 8.2411
angles: 157.36 152.42 35.97
Last column: nearest neighbours and their distance in Å.
Sites, in units of the cell vectors:
Ta  0.1088  0.1088  0.0000  2 Mn 2.41
Ta  0.7380  0.2380  0.5000  4 Mn 2.56, 2 Ta 2.82
Mn  0.2232  0.7232  0.5000  6 Ta 2.41-2.56
Ba  0.4300  0.4300  0.0000  2 Ba 3.24, 2 Ta 3.59, 2 Mn 3.62


In the order shown, the computed volume values come out to 15.3; 17.5; 29.1; 25.8; 18.6; 31.4; 18.8; 18.5; 20.1; 31.4; 31.2; 24.9; 18.2; 17.1; 15.5; 30.1; 24.9 A^3/atom.
In the order shown, the computed final energy values come out to -155.5; -12.6; -79.6; -92.8; -26.8; -12.6; -28.3; -56.0; -19.7; -14.8; -43.7; -27.2; -66.4; -59.9; -29.3; -19.0; -31.8 eV for the cell shown.